1.
The following is a PBE calculation of a relaxed TiGaS2 crystal, from Alexandria.

ΔE_f (raw)   -0.93 eV/atom
Density of states at the Fermi level   2.47 states/eV per cell
SG   R3m, No. 160
Crystal system   trigonal
Total moment   0.00 μB per formula unit
V   74.96 Å³/cell

Geometry as extended XYZ:
```
4
Lattice="1.6990 0.9809 7.4956 -1.6990 0.9809 7.4956 0.0000 -1.9619 7.4956" Properties=species:S:1:pos:R:3 pbc="T T T"
Ti 0.0000 0.0000 0.0000
Ga 0.0000 0.0000 3.6361
S 0.0000 0.0000 8.9898
S 0.0000 0.0000 13.5333
```


2.
The following is a PBE calculation of a relaxed ZrPaPd14 crystal, from Alexandria.

Formation energy from the elements   -0.461 eV per atom
Density of states at the Fermi level   17.53 states/eV per cell
SG   P4/mmm, No. 123
Crystal system   tetragonal
Total moment   0.00 μB per formula unit
V   260.75 Å³/cell

Geometry as extended XYZ:
```
16
Lattice="5.7637 0.0000 0.0000 0.0000 5.7637 0.0000 0.0000 0.0000 7.8490" Properties=species:S:1:pos:R:3 pbc="T T T"
Zr 0.0000 0.0000 0.0000
Pa 2.8818 2.8818 0.0000
Pd 0.0000 0.0000 3.9245
Pd 0.0000 2.8818 0.0000
Pd 0.0000 2.8818 3.9245
Pd 1.4382 1.4382 1.9655
Pd 1.4382 1.4382 5.8835
Pd 1.4382 4.3255 1.9655
Pd 1.4382 4.3255 5.8835
Pd 2.8818 0.0000 0.0000
Pd 2.8818 0.0000 3.9245
Pd 2.8818 2.8818 3.9245
Pd 4.3255 1.4382 1.9655
Pd 4.3255 1.4382 5.8835
Pd 4.3255 4.3255 1.9655
Pd 4.3255 4.3255 5.8835
```


3.
The following is a PBE calculation of a relaxed LaIn2Cu crystal, from Alexandria.

Formation energy from the elements   -0.159 eV per atom
Density of states at the Fermi level   3.57 states/eV per cell
SG   Immm, No. 71
Crystal system   orthorhombic
Total moment   0.01 μB per formula unit
V   98.54 Å³/cell

Geometry as extended XYZ:
```
4
Lattice="-1.7533 2.6146 5.3735 1.7533 -2.6146 5.3735 1.7533 2.6146 -5.3735" Properties=species:S:1:pos:R:3 pbc="T T T"
La 0.0000 0.0000 0.0000
In 1.7533 0.0000 3.1150
In 0.0000 2.6146 2.2585
Cu 0.0000 0.0000 5.3735
```


4.
The following is a PBE calculation of a relaxed ZrTl2SbOs crystal, from Alexandria.

ΔE_f (raw)   0.93 eV/atom
Density of states at the Fermi level   6.54 states/eV per cell
SG   P4/mmm, No. 123
Crystal system   tetragonal
Total moment   0.00 μB per formula unit
V   138.82 Å³/cell

Geometry as extended XYZ:
```
5
Lattice="5.2394 0.0000 0.0000 0.0000 5.2394 0.0000 0.0000 0.0000 5.0568" Properties=species:S:1:pos:R:3 pbc="T T T"
Zr 0.0000 0.0000 0.0000
Tl 0.0000 2.6197 2.5284
Tl 2.6197 0.0000 2.5284
Sb 2.6197 2.6197 0.0000
Os 2.6197 2.6197 2.5284
```


5.
The following is a PBE calculation of a relaxed Hf5Sc3P8 crystal, from Alexandria.

Formation energy from the elements   -1.367 eV per atom
Density of states at the Fermi level   5.85 states/eV per cell
SG   R-3m, No. 166
Crystal system   trigonal
Total moment   0.00 μB per formula unit
V   290.66 Å³/cell

Geometry as extended XYZ:
```
16
Lattice="3.7134 2.1439 6.0851 -3.7134 2.1439 6.0851 0.0000 -4.2878 6.0851" Properties=species:S:1:pos:R:3 pbc="T T T"
Hf 0.0000 0.0000 0.0000
Hf -1.8567 -1.0720 6.0851
Hf -1.8567 1.0720 12.1702
Hf 0.0000 2.1439 6.0851
Hf 0.0000 0.0000 9.1276
Sc -3.7134 0.0000 9.1276
Sc -1.8567 1.0720 3.0425
Sc 1.8567 1.0720 3.0425
P 0.0000 -2.1403 7.6013
P -1.8535 1.0701 7.6013
P 0.0000 0.0000 4.5738
P -1.8535 -1.0701 10.6540
P 1.8535 1.0701 7.6013
P 0.0000 0.0000 13.6815
P 1.8535 -1.0701 10.6540
P 0.0000 2.1403 10.6540
```


6.
The following is a PBE calculation of a relaxed Y2GeOs crystal, from Alexandria.

Formation energy from the elements   0.145 eV per atom
Density of states at the Fermi level   4.75 states/eV per cell
SG   I-42d, No. 122
Crystal system   tetragonal
Total moment   0.00 μB per formula unit
V   189.09 Å³/cell

Geometry as extended XYZ:
```
8
Lattice="-3.8306 3.8306 3.2216 3.8306 -3.8306 3.2216 3.8306 3.8306 -3.2216" Properties=species:S:1:pos:R:3 pbc="T T T"
Y 1.9153 1.7076 -0.8054
Y 2.1230 -1.9153 4.0270
Y 1.9153 2.1230 2.4162
Y 1.7076 5.7459 0.8054
Ge 3.8306 0.0000 1.6108
Ge 0.0000 0.0000 3.2216
Os 0.0000 0.0000 0.0000
Os 0.0000 3.8306 1.6108
```


7.
The following is a PBE calculation of a relaxed Mn2TcTe crystal, from Alexandria.

ΔE_f (raw)   0.24 eV/atom
Density of states at the Fermi level   2.88 states/eV per cell
SG   F-43m, No. 216
Crystal system   cubic
Total moment   2.94 μB per formula unit
V   58.09 Å³/cell

Geometry as extended XYZ:
```
4
Lattice="0.0000 3.0739 3.0739 3.0739 0.0000 3.0739 3.0739 3.0739 0.0000" Properties=species:S:1:pos:R:3 pbc="T T T"
Mn 0.0000 0.0000 0.0000
Mn 1.5370 1.5370 1.5370
Tc 3.0739 3.0739 3.0739
Te 4.6109 4.6109 4.6109
```


8.
The following is a PBE calculation of a relaxed SnBi3Pb5 crystal, from Alexandria.

Formation energy from the elements   0.154 eV per atom
Density of states at the Fermi level   10.28 states/eV per cell
SG   C2/m, No. 12
Crystal system   monoclinic
Total moment   0.00 μB per formula unit
Energy above the most stable polymorph in this dataset   124 meV per atom
V   646.03 Å³/cell

Geometry as extended XYZ:
```
18
Lattice="4.9199 -4.8960 0.0000 4.9199 4.8960 0.0000 -2.0162 0.0000 13.4100" Properties=species:S:1:pos:R:3 pbc="T T T"
Sn 0.1078 0.0000 3.5067
Sn 7.7157 0.0000 9.9033
Bi 0.0000 0.0000 0.0000
Bi -1.0081 0.0000 6.7050
Bi 0.7919 0.0000 11.7979
Bi 2.1905 0.0000 5.9760
Bi 5.6331 0.0000 7.4340
Bi 7.0316 0.0000 1.6121
Pb 2.7398 2.6969 4.2606
Pb 4.9199 1.7871 0.0000
Pb 2.8545 0.0000 1.9527
Pb 5.0837 2.6969 9.1495
Pb 2.6887 0.0000 9.0960
Pb 5.1349 0.0000 4.3140
Pb 2.7398 -2.6969 4.2606
Pb 4.9690 0.0000 11.4573
Pb 4.9199 -1.7871 0.0000
Pb 5.0837 -2.6969 9.1495
```


Question: Which formula does entry 5 have?
Answer: Hf5Sc3P8


Question: The lowest V belongs to which entry?
Answer: Mn2TcTe


Question: What is the density of states at the Fermi level in the eighth record?
Answer: 10.28 states/eV per cell